(1)
A plane-wave DFT calculation with PBE was carried out for Y8Tl2Co after structural relaxation.

Lattice parameters (Å, degrees): 5.2855 6.7382 9.7388 111.22 105.75 90.00
Last column: nearest neighbours and their distance in Å.
Positions (direct):
Y (0.6449, 0.9746, 0.2898)  1 Co 2.79
Y (0.3551, 0.0254, 0.7102)  1 Co 2.79
Y (0.7929, 0.6869, 0.5858)  1 Tl 3.10, 2 Y 3.40
Y (0.9829, 0.2084, 0.9659)  2 Co 3.07, 3 Y 3.11-3.30, 1 Tl 3.12
Y (0.5885, 0.4265, 0.1770)  1 Co 2.72
Y (0.0171, 0.7916, 0.0341)  2 Co 3.07, 3 Y 3.11-3.30, 1 Tl 3.12
Y (0.2071, 0.3131, 0.4142)  1 Tl 3.10, 2 Y 3.40
Y (0.4115, 0.5735, 0.8230)  1 Co 2.72
Tl (0.1740, 0.7301, 0.3481)  7 Y 3.10-3.36
Tl (0.8260, 0.2699, 0.6519)  7 Y 3.10-3.36
Co (0.5000, 0.0000, 0.0000)  4 Y 2.72-2.79

Properties
* volume: 309.3 Å³ per cell
* crystal system: monoclinic
* uncorrected energy: -5.9368 eV/atom
* space group: C2/m, No. 12
* ΔH_f (0 K): -1.75 eV per formula unit



(2)
A plane-wave DFT calculation with PBE was carried out for LaAgS2O8 after structural relaxation.

Lattice parameters (Å, degrees): 5.2544 5.2544 7.7741 90.00 90.00 120.00
Last column: nearest neighbours and their distance in Å.
Positions (direct):
S (0.3333, 0.6667, 0.6924)  4 O 1.49-1.50
S (0.6667, 0.3333, 0.3076)  4 O 1.49-1.50
Ag (0.0000, 0.0000, 0.0000)  6 O 2.52
O (0.1780, 0.8220, 0.7522)  1 S 1.49
O (0.6439, 0.8220, 0.7522)  1 S 1.49
O (0.3333, 0.6667, 0.4989)  1 S 1.50
O (0.3561, 0.1780, 0.2478)  1 S 1.49
O (0.8220, 0.6439, 0.2478)  1 S 1.49
O (0.6667, 0.3333, 0.5011)  1 S 1.50
O (0.8220, 0.1780, 0.2478)  1 S 1.49
O (0.1780, 0.3561, 0.7522)  1 S 1.49
La (0.0000, 0.0000, 0.5000)  6 O 2.54

Properties
* volume: 185.9 Å³ per cell
* crystal system: trigonal
* uncorrected energy: -6.3958 eV/atom
* space group: P-3m1, No. 164
* ΔE_f (raw): -1754 meV/atom



(3)
A plane-wave DFT calculation with PBE was carried out for Ti4Ag2Pb after structural relaxation.

Lattice parameters (Å, degrees): 5.0521 5.0521 7.5835 70.54 70.54 90.00
Last column: nearest neighbours and their distance in Å.
Positions (direct):
Ti (0.2044, 0.2044, 0.5911)  1 Ag 2.55, 1 Pb 2.74
Ti (0.0000, 0.5000, 0.0000)  2 Pb 2.53
Ti (0.7956, 0.7956, 0.4089)  1 Ag 2.55, 1 Pb 2.74
Ti (0.5000, 0.0000, 0.0000)  2 Pb 2.53
Ag (0.6046, 0.6046, 0.7908)  1 Ti 2.55, 1 Ag 2.80
Ag (0.3954, 0.3954, 0.2092)  1 Ti 2.55, 1 Ag 2.80
Pb (0.0000, 0.0000, 0.0000)  6 Ti 2.53-2.74

Properties
* volume: 170.7 Å³ per cell
* crystal system: tetragonal
* uncorrected energy: -4.8493 eV/atom
* space group: I4/mmm, No. 139
* ΔH_f (0 K): 7.05 eV per formula unit



(4)
A plane-wave DFT calculation with PBE was carried out for Ga3Pd5Pt after structural relaxation.

Lattice parameters (Å, degrees): 5.6964 5.6964 9.8312 82.31 82.31 79.87
Last column: nearest neighbours and their distance in Å.
Positions (direct):
Pd (0.5845, 0.0024, 0.6569)  4 Ga 2.45-2.69
Pd (0.4822, 0.4822, 0.3031)  3 Ga 2.46-2.71, 1 Pd 2.61
Pd (0.9976, 0.4155, 0.3431)  4 Ga 2.45-2.69
Pd (0.0024, 0.5845, 0.6569)  4 Ga 2.45-2.69
Pd (0.5178, 0.5178, 0.6969)  3 Ga 2.46-2.71, 1 Pd 2.61
Pd (0.4155, 0.9976, 0.3431)  4 Ga 2.45-2.69
Pd (0.7312, 0.7312, 0.1128)  2 Ga 2.42-2.45, 1 Pd 2.61, 1 Pt 2.67
Pd (0.3188, 0.6812, 0.0000)  1 Ga 2.33
Pd (0.2688, 0.2688, 0.8872)  2 Ga 2.42-2.45, 1 Pd 2.61, 1 Pt 2.67
Pd (0.6812, 0.3188, 0.0000)  1 Ga 2.33
Ga (0.0000, 0.0000, 0.0000)  4 Pd 2.33-2.42, 2 Pt 2.55
Ga (0.2650, 0.2650, 0.1373)  6 Pd 2.45-2.71
Ga (0.0000, 0.0000, 0.5000)  2 Pt 2.42, 4 Pd 2.65
Ga (0.7350, 0.7350, 0.8627)  6 Pd 2.45-2.71
Ga (0.6869, 0.6869, 0.4688)  6 Pd 2.45-2.69
Ga (0.3131, 0.3131, 0.5312)  6 Pd 2.45-2.69
Pt (0.9572, 0.9572, 0.2637)  2 Ga 2.42-2.55, 1 Pd 2.67
Pt (0.0428, 0.0428, 0.7363)  2 Ga 2.42-2.55, 1 Pd 2.67

Properties
* volume: 309.2 Å³ per cell
* crystal system: monoclinic
* uncorrected energy: -4.8362 eV/atom
* space group: C2/m, No. 12
* ΔH_f (0 K): -2.44 eV per formula unit



Question: Look up the uncorrected energy of the first one.
Answer: -5.9368 eV/atom



Question: volume of number 1 (Y8Tl2Co)?
Answer: 309.3 Å³ per cell



Question: Which of these has the highest volume?
Answer: Y8Tl2Co



Question: Which formula does entry 3 have?
Answer: Ti4Ag2Pb